DFT (meta-GGA SCAN) results for Fe2SbSe at its PBEsol-relaxed geometry.

As for the space group: F-43m, No. 216. The value obtained for the calculated total energy is -0.83551 hartree per atom. For the density of states at the Fermi level, the calculation gives 3.55 states/eV/f.u. The value obtained for the theoretical density is 7.83 g cm⁻³. The calculation puts the volume at 66.3 Å³/f.u. The calculation puts the uncorrected formation energy at 2.66 eV per formula unit.

Cell: 6.4232 6.4232 6.4232 Å, 90.00 90.00 90.00°
Last column: nearest neighbours and their distance in Å.
Positions (direct):
Fe 0.0000 0.0000 0.0000  4 Se 2.78, 4 Fe 2.78
Fe 0.0000 0.5000 0.5000  4 Se 2.78, 4 Fe 2.78
Fe 0.2500 0.2500 0.2500  4 Fe 2.78, 4 Sb 2.78
Fe 0.2500 0.7500 0.7500  4 Fe 2.78, 4 Sb 2.78
Fe 0.5000 0.0000 0.5000  4 Se 2.78, 4 Fe 2.78
Fe 0.5000 0.5000 0.0000  4 Se 2.78, 4 Fe 2.78
Fe 0.7500 0.2500 0.7500  4 Fe 2.78, 4 Sb 2.78
Fe 0.7500 0.7500 0.2500  4 Fe 2.78, 4 Sb 2.78
Sb 0.0000 0.0000 0.5000  4 Se 2.78, 4 Fe 2.78
Sb 0.0000 0.5000 0.0000  4 Se 2.78, 4 Fe 2.78
Sb 0.5000 0.0000 0.0000  4 Se 2.78, 4 Fe 2.78
Sb 0.5000 0.5000 0.5000  4 Se 2.78, 4 Fe 2.78
Se 0.2500 0.2500 0.7500  4 Fe 2.78, 4 Sb 2.78
Se 0.2500 0.7500 0.2500  4 Fe 2.78, 4 Sb 2.78
Se 0.7500 0.2500 0.2500  4 Fe 2.78, 4 Sb 2.78
Se 0.7500 0.7500 0.7500  4 Fe 2.78, 4 Sb 2.78

=====

DFT (meta-GGA SCAN) results for Dy3Co4Ge13 at its PBEsol-relaxed geometry.

As for the space group: Pm-3n, No. 223. The value obtained for the calculated total energy is -0.86206 hartree per atom. For the density of states at the Fermi level, the calculation gives 5.88 states/eV/f.u. The calculation puts the formation energy at -0.420 eV per atom. The value obtained for the theoretical density is 8.55 g cm⁻³. The calculation puts the volume at 323.7 Å³/f.u.

Cell: 8.6507 8.6507 8.6507 Å, 90.00 90.00 90.00°
Last column: nearest neighbours and their distance in Å.
Positions (direct):
Dy 0.0000 0.2500 0.5000  12 Ge 3.03-3.05, 4 Co 3.06
Dy 0.0000 0.7500 0.5000  12 Ge 3.03-3.05, 4 Co 3.06
Dy 0.2500 0.5000 0.0000  12 Ge 3.03-3.05, 4 Co 3.06
Dy 0.5000 0.0000 0.2500  12 Ge 3.03-3.05, 4 Co 3.06
Dy 0.5000 0.0000 0.7500  12 Ge 3.03-3.05, 4 Co 3.06
Dy 0.7500 0.5000 0.0000  12 Ge 3.03-3.05, 4 Co 3.06
Co 0.2500 0.2500 0.2500  6 Ge 2.36
Co 0.2500 0.2500 0.7500  6 Ge 2.36
Co 0.2500 0.7500 0.2500  6 Ge 2.36
Co 0.2500 0.7500 0.7500  6 Ge 2.36
Co 0.7500 0.2500 0.2500  6 Ge 2.36
Co 0.7500 0.2500 0.7500  6 Ge 2.36
Co 0.7500 0.7500 0.2500  6 Ge 2.36
Co 0.7500 0.7500 0.7500  6 Ge 2.36
Ge 0.0000 0.0000 0.0000  12 Ge 2.94
Ge 0.0000 0.3034 0.1533  2 Co 2.36
Ge 0.0000 0.3034 0.8467  2 Co 2.36
Ge 0.0000 0.6966 0.1533  2 Co 2.36
Ge 0.0000 0.6966 0.8467  2 Co 2.36
Ge 0.1533 0.0000 0.3034  2 Co 2.36
Ge 0.1533 0.0000 0.6966  2 Co 2.36
Ge 0.1966 0.5000 0.3467  2 Co 2.36
Ge 0.1966 0.5000 0.6533  2 Co 2.36
Ge 0.3034 0.1533 0.0000  2 Co 2.36
Ge 0.3034 0.8467 0.0000  2 Co 2.36
Ge 0.3467 0.1966 0.5000  2 Co 2.36
Ge 0.3467 0.8034 0.5000  2 Co 2.36
Ge 0.5000 0.3467 0.1966  2 Co 2.36
Ge 0.5000 0.3467 0.8034  2 Co 2.36
Ge 0.5000 0.5000 0.5000  12 Ge 2.94
Ge 0.5000 0.6533 0.1966  2 Co 2.36
Ge 0.5000 0.6533 0.8034  2 Co 2.36
Ge 0.6533 0.1966 0.5000  2 Co 2.36
Ge 0.6533 0.8034 0.5000  2 Co 2.36
Ge 0.6966 0.1533 0.0000  2 Co 2.36
Ge 0.6966 0.8467 0.0000  2 Co 2.36
Ge 0.8034 0.5000 0.3467  2 Co 2.36
Ge 0.8034 0.5000 0.6533  2 Co 2.36
Ge 0.8467 0.0000 0.3034  2 Co 2.36
Ge 0.8467 0.0000 0.6966  2 Co 2.36

=====

DFT (meta-GGA SCAN) results for ZnCuPt2 at its PBEsol-relaxed geometry.

As for the space group: Cmmm, No. 65. The value obtained for the calculated total energy is -1.56852 hartree per atom. For the density of states at the Fermi level, the calculation gives 1.84 states/eV/f.u. The calculation puts the formation energy at -0.406 eV per atom. The value obtained for the theoretical density is 15.86 g cm⁻³. The calculation puts the volume at 54.3 Å³/f.u.

Cell: 5.5825 6.9431 2.8041 Å, 90.00 90.00 90.00°
Last column: nearest neighbours and their distance in Å.
Positions (direct):
Zn 0.0000 0.0000 0.0000  8 Pt 2.63, 2 Cu 2.79, 2 Zn 2.80
Zn 0.5000 0.5000 0.0000  8 Pt 2.63, 2 Cu 2.79, 2 Zn 2.80
Cu 0.0000 0.5000 0.0000  8 Pt 2.63, 2 Zn 2.79, 2 Cu 2.80
Cu 0.5000 0.0000 0.0000  8 Pt 2.63, 2 Zn 2.79, 2 Cu 2.80
Pt 0.2500 0.2500 0.5000  4 Zn 2.63, 4 Cu 2.63, 4 Pt 2.79-2.80
Pt 0.2500 0.7500 0.5000  4 Cu 2.63, 4 Zn 2.63, 4 Pt 2.79-2.80
Pt 0.7500 0.2500 0.5000  4 Cu 2.63, 4 Zn 2.63, 4 Pt 2.79-2.80
Pt 0.7500 0.7500 0.5000  4 Zn 2.63, 4 Cu 2.63, 4 Pt 2.79-2.80

=====

DFT (meta-GGA SCAN) results for Zn2OsSe at its PBEsol-relaxed geometry.

As for the space group: P4mm, No. 99. The value obtained for the calculated total energy is -1.08290 hartree per atom. For the density of states at the Fermi level, the calculation gives 1.14 states/eV/f.u. The value obtained for the theoretical density is 10.34 g cm⁻³. The calculation puts the volume at 64.3 Å³/f.u. The calculation puts the uncorrected formation energy at 1.12 eV per formula unit.

Cell: 2.9224 2.9224 7.5233 Å, 90.00 90.00 90.00°
Last column: nearest neighbours and their distance in Å.
Positions (direct):
Zn 0.0000 0.0000 0.0000  8 Zn 2.67-2.92
Zn 0.5000 0.5000 0.2247  8 Zn 2.67-2.92, 4 Os 2.75
Os 0.0000 0.0000 0.4657  4 Se 2.51, 4 Zn 2.75
Se 0.5000 0.5000 0.6540  4 Os 2.51

=====

DFT (meta-GGA SCAN) results for SrMnFe2 at its PBEsol-relaxed geometry.

As for the space group: P4/mmm, No. 123. The value obtained for the calculated total energy is -0.67746 hartree per atom. For the density of states at the Fermi level, the calculation gives 1.28 states/eV/f.u. The calculation puts the formation energy at 0.763 eV per atom. The value obtained for the theoretical density is 6.37 g cm⁻³. The calculation puts the volume at 66.3 Å³/f.u.

Cell: 4.0977 4.0977 3.9478 Å, 90.00 90.00 90.00°
Last column: nearest neighbours and their distance in Å.
Positions (direct):
Sr 0.0000 0.0000 0.0000  8 Fe 2.85, 4 Mn 2.90
Mn 0.5000 0.5000 0.0000  8 Fe 2.85, 4 Sr 2.90
Fe 0.0000 0.5000 0.5000  4 Mn 2.85, 4 Sr 2.85, 4 Fe 2.90
Fe 0.5000 0.0000 0.5000  4 Mn 2.85, 4 Sr 2.85, 4 Fe 2.90

=====

DFT (meta-GGA SCAN) results for LiHg2Au at its PBEsol-relaxed geometry.

As for the space group: P2/m, No. 10. The value obtained for the calculated total energy is -1.91709 hartree per atom. For the density of states at the Fermi level, the calculation gives 1.26 states/eV/f.u. The calculation puts the formation energy at -0.197 eV per atom. The value obtained for the theoretical density is 13.04 g cm⁻³. The calculation puts the volume at 77.0 Å³/f.u.

Cell: 3.0415 4.7847 5.2934 Å, 90.00 90.30 90.00°
Last column: nearest neighbours and their distance in Å.
Positions (direct):
Li 0.0000 0.0000 0.0000  4 Hg 2.84, 2 Li 3.04, 4 Au 3.05-3.06
Hg 0.2667 0.5000 0.2444  2 Li 2.84, 2 Au 2.84, 6 Hg 2.96-3.16
Hg 0.7333 0.5000 0.7556  2 Li 2.84, 2 Au 2.84, 6 Hg 2.96-3.16
Au 0.5000 0.0000 0.5000  4 Hg 2.84, 2 Au 3.04, 4 Li 3.05-3.06

=====

DFT (meta-GGA SCAN) results for B5H9 at its PBEsol-relaxed geometry.

As for the space group: P4_1, No. 76. The value obtained for the calculated total energy is -0.18175 hartree per atom. For the density of states at the Fermi level, the calculation gives 0.00 states/eV/f.u. The value obtained for the theoretical density is 0.88 g cm⁻³. The calculation puts the volume at 118.9 Å³/f.u.

Cell: 9.9569 9.9569 9.5910 Å, 90.00 90.00 90.00°
Last column: nearest neighbours and their distance in Å.
Positions (direct):
B 0.1072 0.1932 0.0093  1 H 1.20
B 0.1073 0.3593 0.9418  1 H 1.19
B 0.1316 0.2133 0.5045  1 H 1.20
B 0.1633 0.3250 0.1044  1 H 1.20
B 0.1724 0.3795 0.5590  1 H 1.20
B 0.1910 0.7006 0.1951  1 H 1.19
B 0.1932 0.8928 0.7593  1 H 1.20
B 0.2106 0.7203 0.8052  1 H 1.20
B 0.2133 0.8684 0.2545  1 H 1.20
B 0.2453 0.7351 0.3581  1 H 1.20
B 0.2649 0.2453 0.6081  1 H 1.20
B 0.2797 0.2106 0.0552  1 H 1.20
B 0.2795 0.3769 0.9874  1 H 1.20
B 0.2994 0.1910 0.4451  1 H 1.19
B 0.3250 0.8367 0.8544  1 H 1.20
B 0.3402 0.3562 0.5000  1 H 1.20
B 0.3562 0.6598 0.2500  1 H 1.20
B 0.3593 0.8927 0.6918  1 H 1.19
B 0.3769 0.7205 0.7374  1 H 1.20
B 0.3795 0.8276 0.3090  1 H 1.20
B 0.6205 0.1724 0.8090  1 H 1.20
B 0.6231 0.2795 0.2374  1 H 1.20
B 0.6407 0.1073 0.1918  1 H 1.19
B 0.6438 0.3402 0.7500  1 H 1.20
B 0.6598 0.6438 0.0000  1 H 1.20
B 0.6750 0.1633 0.3544  1 H 1.20
B 0.7006 0.8090 0.9451  1 H 1.19
B 0.7205 0.6231 0.4874  1 H 1.20
B 0.7203 0.7894 0.5552  1 H 1.20
B 0.7351 0.7547 0.1081  1 H 1.20
B 0.7547 0.2649 0.8581  1 H 1.20
B 0.7867 0.1316 0.7545  1 H 1.20
B 0.7894 0.2797 0.3052  1 H 1.20
B 0.8068 0.1072 0.2593  1 H 1.20
B 0.8090 0.2994 0.6951  1 H 1.19
B 0.8276 0.6205 0.0590  1 H 1.20
B 0.8367 0.6750 0.6044  1 H 1.20
B 0.8684 0.7867 0.0045  1 H 1.20
B 0.8927 0.6407 0.4418  1 H 1.19
B 0.8928 0.8068 0.5093  1 H 1.20
H 0.0232 0.1100 0.0313  1 B 1.20
H 0.0227 0.4341 0.9000  1 B 1.19
H 0.0369 0.1406 0.5182  1 B 1.20
H 0.0846 0.3341 0.4621  2 B 1.35
H 0.0870 0.2394 0.8786  2 B 1.35
H 0.0972 0.6368 0.1548  1 B 1.19
H 0.1100 0.9768 0.7813  1 B 1.20
H 0.1159 0.4645 0.6249  1 B 1.20
H 0.1265 0.7820 0.7151  2 B 1.35-1.36
H 0.1305 0.3690 0.2153  1 B 1.20
H 0.1406 0.9631 0.2682  1 B 1.20
H 0.1450 0.6423 0.8711  1 B 1.20
H 0.1813 0.1920 0.3752  2 B 1.35
H 0.1920 0.8187 0.1252  2 B 1.35
H 0.2009 0.7031 0.4692  1 B 1.20
H 0.2180 0.1265 0.9651  2 B 1.35-1.36
H 0.2180 0.3782 0.8621  2 B 1.35
H 0.2394 0.9130 0.6286  2 B 1.35
H 0.2435 0.4429 0.4584  2 B 1.35
H 0.2661 0.6516 0.6982  2 B 1.35
H 0.2969 0.2009 0.7192  1 B 1.20
H 0.2998 0.6603 0.1219  2 B 1.35
H 0.3341 0.9154 0.2121  2 B 1.35
H 0.3397 0.2998 0.3719  2 B 1.35
H 0.3484 0.2661 0.9482  2 B 1.35
H 0.3577 0.1450 0.1211  1 B 1.20
H 0.3581 0.4678 0.9883  1 B 1.20
H 0.3632 0.0972 0.4048  1 B 1.19
H 0.3690 0.8695 0.9653  1 B 1.20
H 0.3782 0.7820 0.6121  2 B 1.35
H 0.4196 0.5582 0.2601  1 B 1.20
H 0.4341 0.9773 0.6500  1 B 1.19
H 0.4418 0.4196 0.5101  1 B 1.20
H 0.4429 0.7565 0.2084  2 B 1.35
H 0.4645 0.8841 0.3749  1 B 1.20
H 0.4678 0.6419 0.7383  1 B 1.20
H 0.5322 0.3581 0.2383  1 B 1.20
H 0.5355 0.1159 0.8749  1 B 1.20
H 0.5571 0.2435 0.7084  2 B 1.35
H 0.5582 0.5804 0.0101  1 B 1.20
H 0.5659 0.0227 0.1500  1 B 1.19
H 0.5804 0.4418 0.7601  1 B 1.20
H 0.6218 0.2180 0.1121  2 B 1.35
H 0.6310 0.1305 0.4653  1 B 1.20
H 0.6368 0.9028 0.9048  1 B 1.19
H 0.6419 0.5322 0.4883  1 B 1.20
H 0.6423 0.8550 0.6211  1 B 1.20
H 0.6516 0.7339 0.4482  2 B 1.35
H 0.6603 0.7002 0.8719  2 B 1.35
H 0.6659 0.0846 0.7121  2 B 1.35
H 0.7002 0.3397 0.6219  2 B 1.35
H 0.7031 0.7991 0.2192  1 B 1.20
H 0.7339 0.3484 0.1982  2 B 1.35
H 0.7565 0.5571 0.9584  2 B 1.35
H 0.7606 0.0870 0.1286  2 B 1.35
H 0.7820 0.6218 0.3621  2 B 1.35
H 0.7820 0.8735 0.4651  2 B 1.35-1.36
H 0.7991 0.2969 0.9692  1 B 1.20
H 0.8080 0.1813 0.6252  2 B 1.35
H 0.8187 0.8080 0.8752  2 B 1.35
H 0.8550 0.3577 0.3711  1 B 1.20
H 0.8594 0.0369 0.7682  1 B 1.20
H 0.8695 0.6310 0.7153  1 B 1.20
H 0.8735 0.2180 0.2151  2 B 1.35-1.36
H 0.8841 0.5355 0.1249  1 B 1.20
H 0.8900 0.0232 0.2813  1 B 1.20
H 0.9028 0.3632 0.6548  1 B 1.19
H 0.9130 0.7606 0.3786  2 B 1.35
H 0.9154 0.6659 0.9621  2 B 1.35
H 0.9631 0.8594 0.0182  1 B 1.20
H 0.9773 0.5659 0.4000  1 B 1.19
H 0.9768 0.8900 0.5313  1 B 1.20

=====

DFT (meta-GGA SCAN) results for SmSnIr at its PBEsol-relaxed geometry.

As for the space group: P-62m, No. 189. The value obtained for the calculated total energy is -1.89087 hartree per atom. For the density of states at the Fermi level, the calculation gives 2.02 states/eV/f.u. The calculation puts the formation energy at -0.966 eV per atom. The value obtained for the theoretical density is 12.05 g cm⁻³. The calculation puts the volume at 63.6 Å³/f.u.

Cell: 7.3479 7.3479 4.0791 Å, 90.00 90.00 120.00°
Last column: nearest neighbours and their distance in Å.
Positions (direct):
Sm 0.0000 0.4112 0.0000  5 Ir 3.01-3.02, 6 Sn 3.20-3.34
Sm 0.4112 0.0000 0.0000  5 Ir 3.01-3.02, 6 Sn 3.20-3.34
Sm 0.5888 0.5888 0.0000  5 Ir 3.01-3.02, 6 Sn 3.20-3.34
Sn 0.0000 0.7472 0.5000  4 Ir 2.76-2.79
Sn 0.2528 0.2528 0.5000  4 Ir 2.76-2.79
Sn 0.7472 0.0000 0.5000  4 Ir 2.76-2.79
Ir 0.0000 0.0000 0.0000  6 Sn 2.76, 3 Sm 3.02
Ir 0.3333 0.6667 0.5000  3 Sn 2.79, 6 Sm 3.01
Ir 0.6667 0.3333 0.5000  3 Sn 2.79, 6 Sm 3.01

=====

DFT (meta-GGA SCAN) results for Y3Ni at its PBEsol-relaxed geometry.

As for the space group: Fm-3m, No. 225. The value obtained for the calculated total energy is -0.90751 hartree per atom. For the density of states at the Fermi level, the calculation gives 3.24 states/eV/f.u. The calculation puts the formation energy at 0.231 eV per atom. The value obtained for the theoretical density is 5.68 g cm⁻³. The calculation puts the volume at 95.2 Å³/f.u.

Cell: 7.2481 7.2481 7.2481 Å, 90.00 90.00 90.00°
Last column: nearest neighbours and their distance in Å.
Positions (direct):
Y 0.0000 0.0000 0.0000  8 Y 3.14
Y 0.0000 0.5000 0.5000  8 Y 3.14
Y 0.2500 0.2500 0.2500  4 Y 3.14, 4 Ni 3.14
Y 0.2500 0.2500 0.7500  4 Ni 3.14, 4 Y 3.14
Y 0.2500 0.7500 0.2500  4 Ni 3.14, 4 Y 3.14
Y 0.2500 0.7500 0.7500  4 Y 3.14, 4 Ni 3.14
Y 0.5000 0.0000 0.5000  8 Y 3.14
Y 0.5000 0.5000 0.0000  8 Y 3.14
Y 0.7500 0.2500 0.2500  4 Ni 3.14, 4 Y 3.14
Y 0.7500 0.2500 0.7500  4 Y 3.14, 4 Ni 3.14
Y 0.7500 0.7500 0.2500  4 Y 3.14, 4 Ni 3.14
Y 0.7500 0.7500 0.7500  4 Ni 3.14, 4 Y 3.14
Ni 0.0000 0.0000 0.5000  8 Y 3.14
Ni 0.0000 0.5000 0.0000  8 Y 3.14
Ni 0.5000 0.0000 0.0000  8 Y 3.14
Ni 0.5000 0.5000 0.5000  8 Y 3.14

=====

- Which of these has the highest theoretical density?
  ZnCuPt2

=====

- theoretical density of number 5 (SrMnFe2)?
  6.37 g cm⁻³

=====

- Among the records above, which one has the lowest calculated total energy?
  LiHg2Au